The following is a PBE calculation of a geometry-optimized Hg3CO4 structure, from Alexandria.

Geometry as POSCAR:
```
Hg3CO4
1.0
5.3051 0.8208 0.2751
-1.8983 5.0214 -0.2751
-2.3806 -2.5262 4.1042
Hg C O
3 1 4
Direct
0.5580 0.2383 0.7963
0.9703 0.0000 0.9703
0.5580 0.7617 0.3196
0.0093 0.5000 0.5093
0.1657 0.6842 0.8499
0.1657 0.3158 0.4814
0.6945 0.3324 0.3621
0.0297 0.6676 0.3621
```

Values from the calculation:
E_form (uncorrected)	-0.4118	eV/atom
magnetization	0.0	μB/cell

---

The following is a PBE calculation of a geometry-optimized InSn2SbSe5 structure, from Alexandria.

Geometry as POSCAR:
```
InSn2SbSe5
1.0
-1.5424 3.4397 1.5950
-7.8044 -4.8173 -2.4105
-0.2203 -5.8573 12.4187
In Sn Sb Se
2 4 2 10
Direct
0.5440 0.0881 0.9302
0.4560 0.9119 0.4302
0.8687 0.7374 0.8136
0.1399 0.2799 0.6594
0.1313 0.2626 0.3136
0.8601 0.7201 0.1594
0.8023 0.6047 0.5252
0.1977 0.3953 0.0252
0.3476 0.6952 0.0175
0.6850 0.3700 0.8810
0.4723 0.9445 0.7696
0.2932 0.5864 0.6786
0.9679 0.9359 0.5489
0.6524 0.3048 0.5175
0.3150 0.6300 0.3810
0.5277 0.0555 0.2696
0.7068 0.4136 0.1786
0.0321 0.0641 0.0489
```

Values from the calculation:
E_form (uncorrected)	-0.3904	eV/atom
magnetization	0.0	μB/cell

---

The following is a PBE calculation of a geometry-optimized Ni4Te structure, from Alexandria.

Geometry as POSCAR:
```
Ni4Te
1.0
4.5829 0.0000 0.0000
0.0000 4.5829 0.0000
0.0000 0.0000 4.5829
Ni Te
4 1
Direct
0.0000 0.0000 0.0000
0.5000 0.0000 0.5000
0.0000 0.5000 0.5000
0.5000 0.5000 0.0000
0.5000 0.5000 0.5000
```

Values from the calculation:
E_form (uncorrected)	1.1017	eV/atom
energy above the most stable polymorph in this dataset	1070	meV/atom
magnetization	1.1	μB/cell

---

The following is a PBE calculation of a geometry-optimized Hf2Al3Au2 structure, from Alexandria.

Geometry as POSCAR:
```
Hf2Al3Au2
1.0
-2.9995 0.5115 -7.0626
-2.3799 -5.9355 0.5809
-4.4316 2.0271 2.5567
Hf Al Au
4 6 4
Direct
0.8428 0.5981 0.8755
0.3428 0.9019 0.8755
0.6572 0.0981 0.1245
0.1572 0.4019 0.1245
0.5000 0.5000 0.0000
0.0000 0.0000 0.0000
0.6652 0.9277 0.6380
0.8348 0.4277 0.3620
0.1652 0.5723 0.6380
0.3348 0.0723 0.3620
0.5848 0.3068 0.6152
0.9152 0.8068 0.3848
0.0848 0.1932 0.6152
0.4152 0.6932 0.3848
```

Values from the calculation:
ΔE_f	-0.199	eV per atom
energy above the most stable polymorph in this dataset	230	meV/atom
magnetization	0.0	μB/cell

---

The following is a PBE calculation of a geometry-optimized GdTiCoRu structure, from Alexandria.

Geometry as POSCAR:
```
GdTiCoRu
1.0
-4.4080 1.1405 -0.2303
-2.1758 -0.1060 -4.0049
-3.1443 -3.2024 -0.8019
Ru Gd Co Ti
1 1 1 1
Direct
0.5000 0.5000 0.5000
0.7500 0.7500 0.7500
0.0000 0.0000 0.0000
0.2500 0.2500 0.2500
```

Values from the calculation:
ΔE_f	-0.223	eV per atom
magnetization	6.6	μB/cell

---

The following is a PBE calculation of a geometry-optimized Pm3NdTe3 structure, from Alexandria.

Geometry as POSCAR:
```
Pm3NdTe3
1.0
9.2499 0.0000 0.0000
4.6250 8.0107 0.0000
4.6250 2.6702 6.0901
Pm Nd Te
6 2 6
Direct
0.3414 0.8361 0.7422
0.8361 0.0803 0.7422
0.0803 0.3414 0.7422
0.9197 0.6586 0.2578
0.1639 0.9197 0.2578
0.6586 0.1639 0.2578
0.3165 0.3165 0.0505
0.6835 0.6835 0.9495
0.3153 0.5398 0.2418
0.9030 0.3153 0.2418
0.5398 0.9030 0.2418
0.4602 0.0970 0.7582
0.0970 0.6847 0.7582
0.6847 0.4602 0.7582
```

Values from the calculation:
E_form (uncorrected)	-1.1209	eV/atom
magnetization	0.0	μB/cell

---

The following is a PBE calculation of a geometry-optimized Li2La2ErGa2 structure, from Alexandria.

Geometry as POSCAR:
```
Li2La2ErGa2
1.0
4.6384 0.0000 0.0000
2.3192 4.0169 0.0000
2.3192 1.3390 8.7215
Li La Er Ga
2 2 1 2
Direct
0.6077 0.6077 0.1770
0.3923 0.3923 0.8230
0.1335 0.1335 0.5994
0.8665 0.8665 0.4006
0.0000 0.0000 0.0000
0.7314 0.7314 0.8057
0.2686 0.2686 0.1943
```

Values from the calculation:
ΔE_f	-0.312	eV per atom
magnetization	0.0	μB/cell

---

The following is a PBE calculation of a geometry-optimized TcAu2Br structure, from Alexandria.

Geometry as POSCAR:
```
TcAu2Br
1.0
0.0000 3.4219 3.4219
3.4219 0.0000 3.4219
3.4219 3.4219 0.0000
Au Tc Br
2 1 1
Direct
0.2500 0.2500 0.2500
0.7500 0.7500 0.7500
0.5000 0.5000 0.5000
0.0000 0.0000 0.0000
```

Values from the calculation:
E_form (uncorrected)	0.8563	eV/atom
energy above the most stable polymorph in this dataset	513	meV/atom
magnetization	3.7	μB/cell

---

The following is a PBE calculation of a geometry-optimized Nd2YHg structure, from Alexandria.

Geometry as POSCAR:
```
Nd2YHg
1.0
-4.1400 -0.3080 3.6395
-4.3781 -3.1912 -1.0627
-0.8004 -4.6383 2.8845
Nd Y Hg
2 1 1
Direct
0.0000 0.0000 0.0000
0.2500 0.2500 0.2499
0.5001 0.5001 0.4998
0.7499 0.7499 0.7503
```

Values from the calculation:
ΔE_f	-0.043	eV per atom
energy above the most stable polymorph in this dataset	195	meV/atom
magnetization	0.7	μB/cell

---

The following is a PBE calculation of a geometry-optimized PmYPa2As4 structure, from Alexandria.

Geometry as POSCAR:
```
PmYPa2As4
1.0
-2.2239 -1.2681 3.2435
-4.1523 -3.8698 -4.3599
2.7420 -6.5750 -0.6905
Pm Y Pa As
1 1 2 4
Direct
0.5000 0.5000 0.0000
0.0000 0.5000 0.5000
0.0000 0.0000 0.0000
0.5000 0.0000 0.5000
0.0000 0.7584 0.7440
0.0000 0.2416 0.2560
0.5000 0.7560 0.2510
0.5000 0.2440 0.7490
```

Values from the calculation:
ΔE_f	-1.286	eV per atom
magnetization	0.0	μB/cell

---

The following is a PBE calculation of a geometry-optimized EuTmAl2 structure, from Alexandria.

Geometry as POSCAR:
```
EuTmAl2
1.0
-1.9498 2.8275 1.2905
-3.0278 -2.0719 -0.0352
1.3995 -2.1617 6.8506
Eu Tm Al
1 1 2
Direct
0.5000 0.5000 0.5000
0.5000 0.5000 0.0000
0.0000 0.0000 0.7773
0.0000 0.0000 0.2227
```

Values from the calculation:
ΔE_f	-0.317	eV per atom
magnetization	7.2	μB/cell

---

The following is a PBE calculation of a geometry-optimized InGeAu2 structure, from Alexandria.

Geometry as POSCAR:
```
InGeAu2
1.0
-4.1907 -0.8256 3.7518
-4.7289 -0.5249 -5.3975
2.6595 -16.7047 -0.7054
In Ge Au
8 8 16
Direct
0.2482 0.0973 0.6894
0.7482 0.9027 0.8106
0.2518 0.5973 0.3106
0.7518 0.4027 0.1894
0.7518 0.9027 0.3106
0.2518 0.0973 0.1894
0.7482 0.4027 0.6894
0.2482 0.5973 0.8106
0.2605 0.0756 0.9385
0.2605 0.5756 0.5615
0.7605 0.4244 0.9385
0.2395 0.0756 0.4385
0.7395 0.9244 0.0615
0.7395 0.4244 0.4385
0.2395 0.5756 0.0615
0.7605 0.9244 0.5615
0.0011 0.2483 0.8231
0.4989 0.7483 0.1769
0.5011 0.7517 0.6769
0.0014 0.2586 0.5548
0.0011 0.7483 0.6769
0.5011 0.2517 0.8231
0.4989 0.2483 0.3231
0.9989 0.7517 0.1769
0.9986 0.7414 0.4452
0.0014 0.7586 0.9452
0.5014 0.2414 0.5548
0.4986 0.2586 0.0548
0.5014 0.7414 0.9452
0.9986 0.2414 0.0548
0.4986 0.7586 0.4452
0.9989 0.2517 0.3231
```

Values from the calculation:
ΔE_f	-0.095	eV per atom
magnetization	0.0	μB/cell

---

Q: Among the records above, which one has the highest magnetization?
A: EuTmAl2

---

Q: What is the magnetization in the seventh record?
A: 0.0 μB/cell